# CdCu2MoO6

Crystalline CdCu2MoO6 at its relaxed geometry (GGA+U, Alexandria).

The total energy is -5.575 eV per atom.

The structure belongs to space group C2/c (No. 15); the cell edges are 9.0895, 9.6353 and 7.3997 Å and the angles 90.00°, 101.43° and 90.00°. The inequivalent atoms are Cd at (0.0000, 0.2492, 0.2500), Cu at (0.1235, 0.4912, 0.6555), Mo at (0.0000, 0.0803, 0.7500), O at (0.0038, 0.1884, 0.9458), O at (0.0907, 0.4580, 0.3964) and O at (0.1620, 0.0368, 0.2861).